(1)
Computed, not measured: Na3Sn3Au after structural relaxation at the PBE level of DFT.

Structure (POSCAR):
```
Na3Sn3Au
1.0
5.9910 -0.0754 -0.3757
-1.8678 5.6929 -0.3757
0.3106 0.4231 11.2614
Sn Na Au
6 6 2
direct
0.4717 0.0017 0.2584
0.9983 0.5283 0.7416
0.5283 0.9983 0.7416
0.1816 0.1816 0.8650
0.0017 0.4717 0.2584
0.8184 0.8184 0.1350
0.1796 0.8204 0.5000
0.2850 0.7150 0.0000
0.7150 0.2850 0.0000
0.8204 0.1796 0.5000
0.4835 0.4835 0.6551
0.5165 0.5165 0.3449
0.2196 0.2196 0.1127
0.7804 0.7804 0.8873
```

Values from the calculation:
**Spin magnetization**: 0.00 Bohr magnetons per cell
**Formation energy from the elements**: -0.18 eV per atom
**Space group**: C2/m (12)

(2)
Computed, not measured: BaDyCuTe3 after structural relaxation at the PBE level of DFT.

Structure (POSCAR):
```
BaDyCuTe3
1.0
4.4429 0.0004 0.0000
-2.2207 7.5066 0.0000
0.0000 0.0000 11.4389
Te Ba Dy Cu
6 2 2 2
direct
0.3640 0.7281 0.9387
0.6359 0.2719 0.0613
0.9296 0.8590 0.2500
0.6359 0.2719 0.4387
0.0703 0.1410 0.7500
0.3640 0.7281 0.5613
0.7506 0.5013 0.7500
0.2493 0.4987 0.2500
0.0000 0.0000 0.0000
0.0000 0.0000 0.5000
0.5321 0.0640 0.2500
0.4679 0.9360 0.7500
```

Values from the calculation:
**Spin magnetization**: 0.00 Bohr magnetons per cell
**E_form (uncorrected)**: -7.5 eV/f.u.
**Space group**: Cmcm (63)

(3)
Computed, not measured: La2Al4InPd3 after structural relaxation at the PBE level of DFT.

Structure (POSCAR):
```
La2Al4InPd3
1.0
4.4018 0.0000 0.0000
0.0000 4.4018 0.0000
0.0000 0.0000 10.7530
Pd Al La In
3 4 2 1
direct
0.5000 0.0000 0.8784
0.0000 0.5000 0.1216
0.0000 0.0000 0.5000
0.0000 0.5000 0.3527
0.5000 0.0000 0.6473
0.0000 0.0000 0.0000
0.5000 0.5000 0.0000
0.0000 0.5000 0.7574
0.5000 0.0000 0.2426
0.5000 0.5000 0.5000
```

Values from the calculation:
**Spin magnetization**: 0.00 Bohr magnetons per cell
**Formation energy from the elements**: -0.75 eV per atom
**Space group**: P-4m2 (115)

no.,calculated volume (Å³/atom)
1,27.46
2,31.79
3,20.84